Record 1
Na3PrHg7 after structural relaxation. Source: Alexandria via LeMat-Bulk, functional PBE.

The structure in POSCAR format:
```
Na3PrHg7
1.0
1.802 -10.790 0.000
1.802 10.790 0.000
0.000 0.000 16.178
Na Pr Hg
6 2 14
Cartesian
1.802 8.285 8.334 Na
1.802 8.285 15.933 Na
1.802 5.689 4.045 Na
1.802 -5.689 12.134 Na
1.802 -8.285 0.245 Na
1.802 -8.285 7.844 Na
1.802 10.524 4.045 Pr
1.802 -10.524 12.134 Pr
1.802 5.377 9.382 Hg
1.802 5.377 14.886 Hg
1.802 2.714 10.613 Hg
1.802 2.714 13.654 Hg
1.802 2.539 4.045 Hg
1.802 0.144 1.415 Hg
1.802 0.144 6.675 Hg
1.802 -0.144 9.504 Hg
1.802 -0.144 14.764 Hg
1.802 -2.539 12.134 Hg
1.802 -2.714 2.524 Hg
1.802 -2.714 5.565 Hg
1.802 -5.377 1.292 Hg
1.802 -5.377 6.797 Hg
```

Computed properties:
The calculation puts the uncorrected energy at -1.193 eV per atom. The total magnetization is 0.00 μB/f.u.

---

Record 2
NaPr5Hg4 after structural relaxation. Source: Alexandria via LeMat-Bulk, functional PBE.

The structure in POSCAR format:
```
NaPr5Hg4
1.0
3.896 0.000 0.000
0.000 3.896 0.000
0.000 0.000 19.889
Na Pr Hg
1 5 4
Cartesian
0.000 0.000 0.000 Na
1.948 1.948 2.422 Pr
1.948 1.948 6.150 Pr
1.948 1.948 9.945 Pr
1.948 1.948 13.739 Pr
1.948 1.948 17.467 Pr
0.000 0.000 4.153 Hg
0.000 0.000 8.024 Hg
0.000 0.000 11.866 Hg
0.000 0.000 15.737 Hg
```

Computed properties:
The calculation puts the uncorrected energy at -2.972 eV per atom. The total magnetization is 2.31 μB/f.u.

---

Record 3
NaPrHg14 after structural relaxation. Source: Alexandria via LeMat-Bulk, functional PBE.

The structure in POSCAR format:
```
NaPrHg14
1.0
6.805 0.000 0.000
0.000 6.805 0.000
0.000 0.000 8.984
Na Pr Hg
1 1 14
Cartesian
0.000 0.000 0.000 Na
3.403 3.403 0.000 Pr
0.000 0.000 4.492 Hg
0.000 3.403 0.000 Hg
0.000 3.403 4.492 Hg
1.673 1.673 2.269 Hg
1.673 1.673 6.714 Hg
1.673 5.132 2.269 Hg
1.673 5.132 6.714 Hg
3.403 0.000 0.000 Hg
3.403 0.000 4.492 Hg
3.403 3.403 4.492 Hg
5.132 1.673 2.269 Hg
5.132 1.673 6.714 Hg
5.132 5.132 2.269 Hg
5.132 5.132 6.714 Hg
```

Computed properties:
The calculation puts the uncorrected energy at -0.784 eV per atom. The total magnetization is 0.00 μB/f.u.

---

Record 4
NaPrHg2 after structural relaxation. Source: Alexandria via LeMat-Bulk, functional PBE.

The structure in POSCAR format:
```
NaPrHg2
1.0
0.000 3.753 3.753
3.753 0.000 3.753
3.753 3.753 0.000
Na Pr Hg
1 1 2
Cartesian
0.000 0.000 0.000 Na
3.753 3.753 3.753 Pr
1.876 1.876 1.876 Hg
5.629 5.629 5.629 Hg
```

Computed properties:
The total magnetization is 0.00 μB/f.u. Its energy above the lowest structure with this stoichiometry is 0 meV/atom.

---

Record 5
NaPr2Hg4 after structural relaxation. Source: Alexandria via LeMat-Bulk, functional PBE.

The structure in POSCAR format:
```
NaPr2Hg4
1.0
2.616 1.510 8.565
-2.616 1.510 8.565
0.000 -3.021 8.565
Na Pr Hg
1 2 4
Cartesian
0.000 0.000 0.000 Na
0.000 0.000 6.409 Pr
0.000 0.000 19.286 Pr
0.000 0.000 3.237 Hg
0.000 0.000 9.658 Hg
0.000 0.000 16.037 Hg
0.000 0.000 22.458 Hg
```

Computed properties:
The total magnetization is 0.00 μB/f.u. Its energy above the lowest structure with this stoichiometry is 0 meV/atom.

---

Record 6
NaPr3Hg12 after structural relaxation. Source: Alexandria via LeMat-Bulk, functional PBE.

The structure in POSCAR format:
```
NaPr3Hg12
1.0
4.713 0.000 0.000
0.000 4.713 0.000
0.000 0.000 18.757
Na Pr Hg
1 3 12
Cartesian
0.000 0.000 0.000 Na
0.000 0.000 4.556 Pr
0.000 0.000 9.378 Pr
0.000 0.000 14.201 Pr
0.000 2.356 2.292 Hg
0.000 2.356 7.012 Hg
0.000 2.356 11.745 Hg
0.000 2.356 16.465 Hg
2.356 0.000 2.292 Hg
2.356 0.000 7.012 Hg
2.356 0.000 11.745 Hg
2.356 0.000 16.465 Hg
2.356 2.356 0.000 Hg
2.356 2.356 4.721 Hg
2.356 2.356 9.378 Hg
2.356 2.356 14.036 Hg
```

Computed properties:
The calculation puts the uncorrected energy at -1.527 eV per atom. The total magnetization is 0.00 μB/f.u.

---

Record 7
NaPrHg2 after structural relaxation. Source: Alexandria via LeMat-Bulk, functional PBE.

The structure in POSCAR format:
```
NaPrHg2
1.0
1.888 1.090 9.591
-1.888 1.090 9.591
0.000 -2.180 9.591
Na Pr Hg
1 1 2
Cartesian
0.000 0.000 0.000 Na
0.000 0.000 4.808 Pr
0.000 0.000 16.824 Hg
0.000 0.000 21.557 Hg
```

Computed properties:
The total magnetization is 0.00 μB/f.u. Its energy above the lowest structure with this stoichiometry is 169 meV/atom.

---

Record 8
NaPrHg4 after structural relaxation. Source: Alexandria via LeMat-Bulk, functional PBE.

The structure in POSCAR format:
```
NaPrHg4
1.0
5.283 -2.023 0.000
5.283 2.023 0.000
-2.870 0.000 7.274
Na Pr Hg
1 1 4
Cartesian
0.000 0.000 0.000 Na
-1.435 0.000 3.637 Pr
3.021 0.000 1.155 Hg
1.598 0.000 4.914 Hg
6.098 0.000 2.360 Hg
4.675 0.000 6.119 Hg
```

Computed properties:
The total magnetization is 0.00 μB/f.u. Its energy above the lowest structure with this stoichiometry is 1 meV/atom.

---

Record 9
Na4PrHg5 after structural relaxation. Source: Alexandria via LeMat-Bulk, functional PBE.

The structure in POSCAR format:
```
Na4PrHg5
1.0
3.776 0.000 0.000
0.000 3.776 0.000
0.000 0.000 18.650
Na Pr Hg
4 1 5
Cartesian
0.000 0.000 1.812 Na
0.000 0.000 5.503 Na
0.000 0.000 13.148 Na
0.000 0.000 16.838 Na
0.000 0.000 9.325 Pr
1.888 1.888 0.000 Hg
1.888 1.888 3.612 Hg
1.888 1.888 7.371 Hg
1.888 1.888 11.279 Hg
1.888 1.888 15.038 Hg
```

Computed properties:
The calculation puts the uncorrected energy at -1.435 eV per atom. The total magnetization is 0.43 μB/f.u.

---

Record 10
NaPrHg4 after structural relaxation. Source: Alexandria via LeMat-Bulk, functional PBE.

The structure in POSCAR format:
```
NaPrHg4
1.0
-2.561 3.623 4.243
2.561 -3.623 4.243
2.561 3.623 -4.243
Na Pr Hg
1 1 4
Cartesian
0.000 0.000 0.000 Na
2.561 0.000 4.231 Pr
2.561 1.932 -1.454 Hg
2.561 1.945 1.441 Hg
0.000 1.691 2.790 Hg
0.000 1.679 5.684 Hg
```

Computed properties:
The total magnetization is 0.00 μB/f.u. Its energy above the lowest structure with this stoichiometry is 0 meV/atom.

---

Record 11
NaPrHg2 after structural relaxation. Source: Alexandria via LeMat-Bulk, functional PBE.

The structure in POSCAR format:
```
NaPrHg2
1.0
5.459 0.000 0.000
0.000 5.459 0.000
0.000 0.000 3.684
Na Pr Hg
1 1 2
Cartesian
0.000 0.000 0.000 Na
2.729 2.729 0.000 Pr
0.000 2.729 1.842 Hg
2.729 0.000 1.842 Hg
```

Computed properties:
The total magnetization is 0.00 μB/f.u. Its energy above the lowest structure with this stoichiometry is 28 meV/atom.

---

Record 12
NaPr2Hg4 after structural relaxation. Source: Alexandria via LeMat-Bulk, functional PBE.

The structure in POSCAR format:
```
NaPr2Hg4
1.0
-2.666 2.666 7.926
2.666 -2.666 7.926
2.666 2.666 -7.926
Na Pr Hg
1 2 4
Cartesian
0.000 0.000 0.000 Na
0.000 0.000 6.072 Pr
0.000 0.000 9.780 Pr
2.666 0.000 0.000 Hg
0.000 0.000 2.938 Hg
0.000 2.666 0.000 Hg
0.000 0.000 12.914 Hg
```

Computed properties:
The total magnetization is 0.00 μB/f.u. Its energy above the lowest structure with this stoichiometry is 224 meV/atom.